# 1
# NbFeCl6

A geometry-optimized NbFeCl6 structure (GGA-PBE, Alexandria via LeMat-Bulk).

a b c (Å): 6.239 6.239 6.639
angles (deg): 61.97 61.97 60.00
Sites, in units of the cell vectors:
Cl: 0.894 0.609 0.250
Cl: 0.247 0.894 0.250
Cl: 0.391 0.753 0.750
Cl: 0.753 0.106 0.750
Cl: 0.609 0.247 0.250
Cl: 0.106 0.391 0.750
Fe: 0.500 0.500 0.500
Nb: 0.000 0.000 0.000

## Properties
symmetry: No. 148
energy relative to the elements, uncorrected: -969 meV per atom
VASP energy: -4.67 eV per atom


# 2
# Zn2SbOs

A geometry-optimized Zn2SbOs structure (GGA-PBE, Alexandria via LeMat-Bulk).

a b c (Å): 9.068 9.068 9.068
angles (deg): 19.28 19.28 19.28
Sites, in units of the cell vectors:
Zn: 0.990 0.990 0.990
Zn: 0.510 0.510 0.510
Sb: 0.750 0.750 0.750
Os: 0.250 0.250 0.250

## Properties
symmetry: No. 166
energy relative to the elements, uncorrected: 482 meV per atom
VASP energy: -3.99 eV per atom


# 3
# CaUTc2

A geometry-optimized CaUTc2 structure (GGA-PBE, Alexandria via LeMat-Bulk).

a b c (Å): 3.353 3.353 7.183
angles (deg): 90.00 90.00 90.00
Sites, in units of the cell vectors:
U: 0.500 0.500 0.000
Tc: 0.000 0.000 0.805
Tc: 0.000 0.000 0.195
Ca: 0.500 0.500 0.500

## Properties
symmetry: No. 123
formation energy from the elements: 59 meV/atom
VASP energy: -8.45 eV per atom


# 4
# In2BiPtSe

A geometry-optimized In2BiPtSe structure (GGA-PBE, Alexandria via LeMat-Bulk).

a b c (Å): 5.133 5.133 5.595
angles (deg): 90.00 90.00 90.00
Sites, in units of the cell vectors:
Se: 0.500 0.500 0.601
In: 0.000 0.500 0.940
In: 0.500 0.000 0.940
Bi: 0.000 0.000 0.496
Pt: 0.000 0.000 0.023

## Properties
symmetry: No. 99
energy relative to the elements, uncorrected: -126 meV per atom
VASP energy: -3.90 eV per atom


# 5
# BaLiP2S

A geometry-optimized BaLiP2S structure (GGA-PBE, Alexandria via LeMat-Bulk).

a b c (Å): 4.598 4.598 5.098
angles (deg): 90.00 90.00 90.00
Sites, in units of the cell vectors:
P: 0.000 0.500 0.000
P: 0.500 0.000 0.000
Li: 0.000 0.000 0.000
Ba: 0.500 0.500 0.500
S: 0.000 0.000 0.500

## Properties
energy above the most stable polymorph in this dataset: 0.000 eV per atom
symmetry: No. 123
energy relative to the elements, uncorrected: -229 meV per atom
VASP energy: -3.99 eV per atom


# 6
# CaAcC2O8

A geometry-optimized CaAcC2O8 structure (GGA-PBE, Alexandria via LeMat-Bulk).

a b c (Å): 4.996 4.996 7.745
angles (deg): 90.00 90.00 120.00
Sites, in units of the cell vectors:
C: 0.333 0.667 0.722
C: 0.667 0.333 0.278
O: 0.632 0.816 0.780
O: 0.184 0.816 0.780
O: 0.816 0.632 0.220
O: 0.333 0.667 0.540
O: 0.184 0.368 0.780
O: 0.368 0.184 0.220
O: 0.667 0.333 0.460
O: 0.816 0.184 0.220
Ca: 0.000 0.000 0.000
Ac: 0.000 0.000 0.500

## Properties
symmetry: No. 164
energy relative to the elements, uncorrected: -1728 meV per atom
VASP energy: -7.08 eV per atom


# 7
# Sc2TcP

A geometry-optimized Sc2TcP structure (GGA-PBE, Alexandria via LeMat-Bulk).

a b c (Å): 5.316 5.316 5.316
angles (deg): 137.70 137.70 61.37
Sites, in units of the cell vectors:
Tc: 0.500 0.500 0.000
P: 0.750 0.250 0.500
Sc: 0.250 0.750 0.500
Sc: 0.000 0.000 0.000

## Properties
symmetry: No. 119
formation energy from the elements: -432 meV/atom
VASP energy: -7.54 eV per atom


# 8
# Li5Pt3

A geometry-optimized Li5Pt3 structure (GGA-PBE, Alexandria via LeMat-Bulk).

a b c (Å): 7.504 7.504 4.856
angles (deg): 90.00 90.00 120.01
Sites, in units of the cell vectors:
Pt: 0.586 0.586 0.750
Pt: 0.414 0.000 0.750
Pt: 0.414 0.414 0.250
Pt: 0.586 0.000 0.250
Pt: 0.000 0.586 0.250
Pt: 0.000 0.414 0.750
Li: 0.242 0.242 0.750
Li: 0.243 0.000 0.250
Li: 0.333 0.667 0.000
Li: 0.000 0.757 0.750
Li: 0.758 0.000 0.750
Li: 0.758 0.758 0.250
Li: 0.667 0.333 0.000
Li: 0.333 0.667 0.500
Li: 0.667 0.333 0.500
Li: 0.000 0.243 0.250

## Properties
energy above the most stable polymorph in this dataset: 0.108 eV per atom
symmetry: No. 193
formation energy from the elements: -403 meV/atom
VASP energy: -3.86 eV per atom


# 9
# Mg2ZrSc3

A geometry-optimized Mg2ZrSc3 structure (GGA-PBE, Alexandria via LeMat-Bulk).

a b c (Å): 3.259 3.259 13.300
angles (deg): 90.00 90.00 90.00
Sites, in units of the cell vectors:
Zr: 0.500 0.500 0.500
Mg: 0.500 0.500 0.165
Mg: 0.500 0.500 0.835
Sc: 0.000 0.000 0.000
Sc: 0.000 0.000 0.664
Sc: 0.000 0.000 0.336

## Properties
symmetry: No. 123
formation energy from the elements: -45 meV/atom
VASP energy: -5.17 eV per atom


# 10
# BPd

A geometry-optimized BPd structure (GGA-PBE, Alexandria via LeMat-Bulk).

a b c (Å): 3.446 3.790 4.319
angles (deg): 63.89 65.85 90.01
Sites, in units of the cell vectors:
Pd: 0.811 0.309 0.383
Pd: 0.189 0.691 0.617
B: 0.753 0.001 0.998
B: 0.247 0.999 0.002

## Properties
symmetry: No. 2
formation energy from the elements: 31 meV/atom
VASP energy: -5.90 eV per atom


# 11
# LiTcP

A geometry-optimized LiTcP structure (GGA-PBE, Alexandria via LeMat-Bulk).

a b c (Å): 4.499 4.499 4.499
angles (deg): 139.74 139.74 58.25
Sites, in units of the cell vectors:
P: 0.678 0.678 0.000
Li: 0.002 0.002 0.000
Tc: 0.320 0.320 0.000

## Properties
energy above the most stable polymorph in this dataset: 0.232 eV per atom
symmetry: No. 107
formation energy from the elements: -305 meV/atom
VASP energy: -6.20 eV per atom


# 12
# LiFeNiTe2

A geometry-optimized LiFeNiTe2 structure (GGA-PBE, Alexandria via LeMat-Bulk).

a b c (Å): 4.791 3.959 4.791
angles (deg): 90.00 90.00 90.00
Sites, in units of the cell vectors:
Te: 0.000 0.000 0.500
Te: 0.500 0.000 0.000
Li: 0.000 0.000 0.000
Ni: 0.500 0.500 0.500
Fe: 0.000 0.500 0.000

## Properties
symmetry: No. 123
energy relative to the elements, uncorrected: 947 meV per atom
VASP energy: -3.54 eV per atom


# 13
# CrTc2Ir

A geometry-optimized CrTc2Ir structure (GGA-PBE, Alexandria via LeMat-Bulk).

a b c (Å): 3.739 3.739 9.140
angles (deg): 78.20 78.20 90.00
Sites, in units of the cell vectors:
Tc: 0.159 0.625 0.250
Tc: 0.591 0.125 0.250
Tc: 0.375 0.409 0.750
Tc: 0.875 0.841 0.750
Cr: 0.500 0.500 0.000
Cr: 0.250 0.750 0.500
Ir: 0.750 0.250 0.500
Ir: 0.000 0.000 0.000

## Properties
energy above the most stable polymorph in this dataset: 0.646 eV per atom
symmetry: No. 122
formation energy from the elements: 595 meV/atom
VASP energy: -9.21 eV per atom


# 14
# CoNiN3

A geometry-optimized CoNiN3 structure (GGA-PBE, Alexandria via LeMat-Bulk).

a b c (Å): 3.630 3.630 3.630
angles (deg): 90.00 90.00 90.00
Sites, in units of the cell vectors:
Ni: 0.000 0.000 0.000
N: 0.000 0.000 0.500
N: 0.000 0.500 0.000
N: 0.500 0.000 0.000
Co: 0.500 0.500 0.500

## Properties
symmetry: No. 221
energy relative to the elements, uncorrected: 1872 meV per atom
VASP energy: -5.70 eV per atom


# 15
# KHgBr2

A geometry-optimized KHgBr2 structure (GGA-PBE, Alexandria via LeMat-Bulk).

a b c (Å): 9.215 9.215 9.215
angles (deg): 31.70 31.70 31.70
Sites, in units of the cell vectors:
K: 0.000 0.000 0.000
Br: 0.114 0.114 0.114
Br: 0.886 0.886 0.886
Hg: 0.500 0.500 0.500

## Properties
energy above the most stable polymorph in this dataset: 0.363 eV per atom
symmetry: No. 166
energy relative to the elements, uncorrected: -603 meV per atom
VASP energy: -1.79 eV per atom


# 16
# LiTmCd17

A geometry-optimized LiTmCd17 structure (GGA-PBE, Alexandria via LeMat-Bulk).

a b c (Å): 7.739 7.739 7.739
angles (deg): 79.75 79.75 79.75
Sites, in units of the cell vectors:
Cd: 0.001 0.695 0.308
Cd: 0.612 0.226 0.612
Cd: 0.308 0.695 0.001
Cd: 0.226 0.612 0.612
Cd: 0.308 0.001 0.695
Cd: 0.892 0.345 0.345
Cd: 0.926 0.926 0.926
Cd: 0.966 0.966 0.542
Cd: 0.966 0.542 0.966
Cd: 0.110 0.110 0.110
Cd: 0.345 0.345 0.892
Cd: 0.695 0.001 0.308
Cd: 0.542 0.966 0.966
Cd: 0.345 0.892 0.345
Cd: 0.695 0.308 0.001
Cd: 0.612 0.612 0.226
Cd: 0.001 0.308 0.695
Li: 0.627 0.627 0.627
Tm: 0.325 0.325 0.325

## Properties
symmetry: No. 160
formation energy from the elements: -43 meV/atom
VASP energy: -1.20 eV per atom


# 17
# As2CSBr

A geometry-optimized As2CSBr structure (GGA-PBE, Alexandria via LeMat-Bulk).

a b c (Å): 4.889 4.889 5.054
angles (deg): 90.00 90.00 90.00
Sites, in units of the cell vectors:
C: 0.500 0.500 0.500
Br: 0.000 0.000 0.500
As: 0.500 0.000 0.000
As: 0.000 0.500 0.000
S: 0.000 0.000 0.000

## Properties
energy above the most stable polymorph in this dataset: 0.682 eV per atom
symmetry: No. 123
energy relative to the elements, uncorrected: 2019 meV per atom
VASP energy: -2.85 eV per atom


# 18
# PmNi2Rh3

A geometry-optimized PmNi2Rh3 structure (GGA-PBE, Alexandria via LeMat-Bulk).

a b c (Å): 4.082 5.229 5.229
angles (deg): 120.00 90.00 90.00
Sites, in units of the cell vectors:
Rh: 0.500 0.501 0.500
Rh: 0.500 0.501 0.000
Rh: 0.500 0.001 0.500
Ni: 0.000 0.668 0.333
Ni: 0.000 0.335 0.667
Pm: 0.000 0.001 0.000

## Properties
symmetry: No. 191
formation energy from the elements: -359 meV/atom
VASP energy: -6.75 eV per atom


# 19
# LaTeWN2

A geometry-optimized LaTeWN2 structure (GGA-PBE, Alexandria via LeMat-Bulk).

a b c (Å): 4.207 4.207 6.895
angles (deg): 90.00 90.00 90.00
Sites, in units of the cell vectors:
W: 0.500 0.500 0.500
La: 0.000 0.000 0.000
Te: 0.000 0.000 0.500
N: 0.500 0.000 0.000
N: 0.000 0.500 0.000

## Properties
energy above the most stable polymorph in this dataset: 1.593 eV per atom
symmetry: No. 123
energy relative to the elements, uncorrected: 1470 meV per atom
VASP energy: -6.06 eV per atom


# 20
# NaYCu2Si

A geometry-optimized NaYCu2Si structure (GGA-PBE, Alexandria via LeMat-Bulk).

a b c (Å): 4.600 5.349 4.600
angles (deg): 90.00 90.00 90.00
Sites, in units of the cell vectors:
Cu: 0.500 0.000 0.000
Cu: 0.000 0.000 0.500
Na: 0.500 0.500 0.500
Y: 0.000 0.500 0.000
Si: 0.000 0.000 0.000

## Properties
symmetry: No. 123
energy relative to the elements, uncorrected: 236 meV per atom
VASP energy: -4.04 eV per atom